Record 1
Crystalline SrMnNF2 at its relaxed geometry. Source: the Alexandria database, functional GGA+U.

Lattice parameters (Å, degrees): 4.177 4.177 3.995 90.00 90.00 90.00
Space group P4/mmm (No. 123)
Symmetry-distinct sites (fractional):
Sr1 0.000 0.000 0.000 (multiplicity 1)
Mn1 0.500 0.500 0.500 (multiplicity 1)
N1 0.500 0.500 0.000 (multiplicity 1)
F1 0.000 0.500 0.500 (multiplicity 2)

Record 2
Crystalline SrMnNF2 at its relaxed geometry. Source: the Alexandria database, functional GGA+U.

Lattice parameters (Å, degrees): 4.472 4.472 5.163 90.00 90.00 90.00
Space group P4/mmm (No. 123)
Symmetry-distinct sites (fractional):
Sr1 0.000 0.000 0.000 (multiplicity 1)
Mn1 0.500 0.500 0.500 (multiplicity 1)
N1 0.000 0.000 0.500 (multiplicity 1)
F1 0.000 0.500 0.000 (multiplicity 2)

Record 3
Crystalline SrMnN2F at its relaxed geometry. Source: the Alexandria database, functional GGA+U.

Lattice parameters (Å, degrees): 4.739 4.739 4.463 90.00 90.00 90.00
Space group P4/mmm (No. 123)
Symmetry-distinct sites (fractional):
Sr1 0.000 0.000 0.000 (multiplicity 1)
Mn1 0.500 0.500 0.500 (multiplicity 1)
N1 0.000 0.500 0.000 (multiplicity 2)
F1 0.000 0.000 0.500 (multiplicity 1)

Record 4
Crystalline SrMnN2F at its relaxed geometry. Source: the Alexandria database, functional GGA+U.

Lattice parameters (Å, degrees): 3.841 3.841 4.539 90.00 90.00 90.00
Space group P4/mmm (No. 123)
Symmetry-distinct sites (fractional):
Sr1 0.000 0.000 0.000 (multiplicity 1)
Mn1 0.500 0.500 0.500 (multiplicity 1)
N1 0.000 0.500 0.500 (multiplicity 2)
F1 0.500 0.500 0.000 (multiplicity 1)

Energy relative to the lowest polymorph listed for this composition for every record listed, in sequence, given in meV per atom: 0.0; 855.5; 1992.8; 0.0.
Mass density for every record listed, in sequence, given in g/cm3: 4.63; 3.13; 3.14; 4.70.